Entry 1:
Entry from Alexandria: a relaxed structure of SrVSi2O7 (PBE+U).

- DFT total energy (Ry per atom) = -0.56271

```
SrVSi2O7
1.0
2.692 -7.412 0.000
2.692 7.412 0.000
0.000 0.000 7.113
Sr V Si O
2 2 4 14
direct
0.204 0.796 0.750 Sr
0.796 0.204 0.250 Sr
0.108 0.892 0.250 V
0.892 0.108 0.750 V
0.392 0.608 0.024 Si
0.392 0.608 0.476 Si
0.608 0.392 0.524 Si
0.608 0.392 0.976 Si
0.003 0.997 0.750 O
0.095 0.402 0.561 O
0.095 0.402 0.939 O
0.363 0.637 0.250 O
0.402 0.095 0.061 O
0.402 0.095 0.439 O
0.500 0.500 0.000 O
0.500 0.500 0.500 O
0.598 0.905 0.561 O
0.598 0.905 0.939 O
0.637 0.363 0.750 O
0.905 0.598 0.061 O
0.905 0.598 0.439 O
0.997 0.003 0.250 O
```

Entry 2:
Entry from Alexandria: a relaxed structure of SrVSiO6 (PBE+U).

- DFT total energy (Ry per atom) = -0.52455

```
SrVSiO6
1.0
4.938 0.000 0.000
-2.469 4.277 0.000
0.000 0.000 5.402
Sr V Si O
1 1 1 6
direct
0.000 0.000 0.000 Sr
0.333 0.667 0.500 V
0.667 0.333 0.500 Si
0.392 0.016 0.689 O
0.392 0.376 0.311 O
0.624 0.016 0.311 O
0.624 0.608 0.689 O
0.984 0.376 0.689 O
0.984 0.608 0.311 O
```

Entry 3:
Entry from Alexandria: a relaxed structure of SrSi2WO8 (PBE+U).

- DFT total energy (Ry per atom) = -0.54735

```
SrSi2WO8
1.0
2.445 1.411 8.002
-2.445 1.411 8.002
0.000 -2.823 8.002
Sr Si W O
1 2 1 8
direct
0.000 0.000 0.000 Sr
0.240 0.240 0.240 Si
0.760 0.760 0.760 Si
0.500 0.500 0.500 W
0.115 0.492 0.749 O
0.251 0.885 0.508 O
0.307 0.307 0.307 O
0.492 0.749 0.115 O
0.508 0.251 0.885 O
0.693 0.693 0.693 O
0.749 0.115 0.492 O
0.885 0.508 0.251 O
```